Compound: LaTbEr2Sc
Source: Alexandria via LeMat-Bulk
Functional: PBE
Structure: optimized geometry

```
LaTbEr2Sc
1.0
-3.981 -0.542 2.998
4.753 -1.438 6.051
0.243 7.678 1.710
La Tb Er Sc
2 2 4 2
Direct
0.250 0.744 0.260
0.750 0.256 0.740
0.250 0.946 0.847
0.750 0.054 0.153
0.750 0.840 0.554
0.750 0.649 0.953
0.250 0.160 0.446
0.250 0.351 0.047
0.250 0.550 0.652
0.750 0.450 0.348
```

Output
As for the crystal system: monoclinic. The formation energy is 55.6 meV per atom. As for the total energy: -4.947 eV per atom.

=====

Compound: CuAg2Pb
Source: Alexandria via LeMat-Bulk
Functional: PBE
Structure: optimized geometry

```
CuAg2Pb
1.0
-1.505 0.745 -2.910
-2.502 -2.304 0.704
-6.062 2.500 3.774
Ag Cu Pb
2 1 1
Direct
0.000 0.962 0.037
0.500 0.228 0.272
0.000 0.539 0.461
0.500 0.771 0.729
```

Output
As for the crystal system: orthorhombic. The formation energy is 141.6 meV per atom. As for the total energy: -3.235 eV per atom.

=====

Compound: Cs2PSF6
Source: Alexandria via LeMat-Bulk
Functional: PBE
Structure: optimized geometry

```
Cs2PSF6
1.0
-3.549 0.157 6.024
3.997 -5.170 2.490
3.226 0.627 5.944
Cs P S F
2 1 1 6
Direct
0.750 0.250 0.500
0.250 0.750 0.500
0.500 0.500 0.000
0.000 0.000 0.000
0.324 0.324 0.352
0.676 0.676 0.648
0.334 0.334 0.000
0.666 0.666 0.000
0.666 0.334 0.000
0.334 0.666 0.000
```

Output
As for the crystal system: tetragonal. For the uncorrected formation energy, the calculation gives -2.23 eV per atom. As for the total energy: -4.478 eV per atom.

=====

Compound: Li2PuSiN4
Source: Alexandria via LeMat-Bulk
Functional: PBE
Structure: optimized geometry

```
Li2PuSiN4
1.0
5.103 0.000 0.000
2.551 4.068 -0.720
2.551 -0.265 4.123
Li Pu Si N
2 1 1 4
Direct
0.500 0.750 0.250
0.500 0.250 0.750
0.000 0.000 0.000
0.000 0.500 0.500
0.564 0.597 0.840
0.436 0.160 0.403
0.000 0.403 0.160
0.000 0.840 0.597
```

Output
As for the crystal system: tetragonal. For the uncorrected formation energy, the calculation gives -0.59 eV per atom. As for the total energy: -7.698 eV per atom.

=====

Compound: Mg2NiPtN
Source: Alexandria via LeMat-Bulk
Functional: PBE
Structure: optimized geometry

```
Mg2NiPtN
1.0
-1.854 -1.696 3.516
2.778 -3.309 -0.131
2.301 1.848 2.104
Ni Mg Pt N
1 2 1 1
Direct
0.000 0.000 0.500
0.000 0.500 0.000
0.500 0.000 0.000
0.500 0.500 0.500
0.000 0.000 0.000
```

Output
The value obtained for the energy above the lowest structure with this stoichiometry is 0 meV/atom. As for the crystal system: tetragonal. For the uncorrected formation energy, the calculation gives -0.47 eV per atom. As for the total energy: -5.138 eV per atom.

=====

Compound: CsBaTa
Source: Alexandria via LeMat-Bulk
Functional: PBE
Structure: optimized geometry

```
CsBaTa
1.0
-1.791 5.734 -1.590
-3.997 -4.738 -0.442
-2.976 1.644 9.282
Cs Ba Ta
2 2 2
Direct
0.667 0.333 0.000
0.667 0.333 0.500
0.333 0.667 0.296
0.333 0.667 0.704
0.000 0.000 0.386
0.000 0.000 0.614
```

Output
The value obtained for the energy above the lowest structure with this stoichiometry is 706 meV/atom. As for the crystal system: hexagonal. The formation energy is 1231.6 meV per atom. As for the total energy: -3.645 eV per atom.

=====

Compound: BaHgPd3Pb
Source: Alexandria via LeMat-Bulk
Functional: PBE
Structure: optimized geometry

```
BaHgPd3Pb
1.0
-6.584 -2.000 2.346
2.638 -2.126 5.592
-2.157 6.877 -0.191
Ba Hg Pd Pb
2 2 6 2
Direct
0.750 0.315 0.630
0.250 0.685 0.370
0.250 0.940 0.880
0.750 0.060 0.120
0.250 0.157 0.315
0.000 0.285 0.000
0.500 0.715 0.000
0.500 0.285 0.000
0.000 0.715 0.000
0.750 0.843 0.685
0.250 0.371 0.742
0.750 0.629 0.258
```

Output
As for the crystal system: orthorhombic. The formation energy is -266.2 meV per atom. As for the total energy: -3.851 eV per atom.

=====

Compound: YMnRe2
Source: Alexandria via LeMat-Bulk
Functional: PBE
Structure: optimized geometry

```
YMnRe2
1.0
3.101 0.000 0.000
0.000 3.101 0.000
0.000 0.000 7.531
Mn Re Y
1 2 1
Direct
0.500 0.500 0.800
0.000 0.000 0.010
0.500 0.500 0.200
0.000 0.000 0.490
```

Output
The value obtained for the energy above the lowest structure with this stoichiometry is 0 meV/atom. As for the crystal system: tetragonal. The formation energy is 190.5 meV per atom. As for the total energy: -9.942 eV per atom.

=====

| no. | spin magnetization (μB per formula unit) | Fermi-level density of states (states/eV/f.u.) |
| --- | --- | --- |
| 1 | 0.00 | 8.45 |
| 2 | 0.00 | 1.11 |
| 3 | 1.00 | 0.00 |
| 4 | 2.00 | 7.77 |
| 5 | 0.63 | 2.99 |
| 6 | 0.00 | 3.05 |
| 7 | 0.00 | 3.18 |
| 8 | 3.80 | 3.69 |